Entry 1:
The following is a PBE calculation of a relaxed ScZn2Fe crystal, from Alexandria.

Values from the calculation:
calculated total energy: -4.4475 eV per atom
E_form: -0.112 eV per atom

Structure (extended XYZ):
```
8
Lattice="4.1039 0.0172 0.0000 -2.0550 4.5931 0.0000 0.0000 0.0000 6.7319" Properties=species:S:1:pos:R:3 pbc="T T T"
Sc 2.0487 0.6596 1.6830
Sc 0.0001 3.9507 5.0489
Fe 2.0422 1.9776 5.0489
Fe 0.0067 2.6327 1.6830
Zn -0.0055 1.2384 6.3428
Zn -0.0055 1.2384 3.7550
Zn 2.0544 3.3718 2.9769
Zn 2.0544 3.3718 0.3891
```

Entry 2:
The following is a PBE calculation of a relaxed PuCuGe2 crystal, from Alexandria.

Values from the calculation:
calculated total energy: -6.6649 eV per atom
E_form: 0.251 eV per atom

Structure (extended XYZ):
```
4
Lattice="2.9445 0.0000 0.0000 1.4723 2.5500 0.0000 1.4723 0.8500 9.8971" Properties=species:S:1:pos:R:3 pbc="T T T"
Cu 2.9445 1.7000 4.9486
Ge 1.4723 0.8500 6.9192
Ge 4.4168 2.5500 2.9779
Pu 0.0000 0.0000 0.0000
```

Entry 3:
The following is a PBE calculation of a relaxed BaNd2Cd2 crystal, from Alexandria.

Values from the calculation:
calculated total energy: -2.7820 eV per atom
E_form: -0.124 eV per atom

Structure (extended XYZ):
```
5
Lattice="-2.9283 -1.1544 2.3165 0.7245 -3.8820 -1.0187 7.2825 -2.8290 7.7962" Properties=species:S:1:pos:R:3 pbc="T T T"
Cd 4.6725 -5.1537 6.6352
Cd 0.4061 -2.7117 2.4588
Ba 0.0000 0.0000 0.0000
Nd 3.2602 -4.2074 2.0246
Nd 4.7468 -2.5036 4.7529
```

Entry 4:
The following is a PBE calculation of a relaxed ScPaFeIr crystal, from Alexandria.

Values from the calculation:
calculated total energy: -8.7094 eV per atom
E_form: -0.422 eV per atom

Structure (extended XYZ):
```
4
Lattice="-1.9794 2.5951 3.3912 1.4191 -0.4801 4.4619 2.4588 3.4381 2.0704" Properties=species:S:1:pos:R:3 pbc="T T T"
Ir 0.4746 1.3883 2.4809
Fe 1.4239 4.1649 7.4426
Pa 0.9493 2.7766 4.9618
Sc 0.0000 0.0000 0.0000
```

Entry 5:
The following is a PBE calculation of a relaxed Na12LiBi7 crystal, from Alexandria.

Values from the calculation:
calculated total energy: -2.4983 eV per atom
E_form: -0.253 eV per atom

Structure (extended XYZ):
```
20
Lattice="9.0014 0.0340 0.0510 -2.4703 8.6559 0.0510 -2.4703 -3.2869 8.0077" Properties=species:S:1:pos:R:3 pbc="T T T"
Bi -2.9268 6.6921 2.5488
Bi 0.5973 -2.8740 7.1575
Bi 2.0304 2.7015 4.0548
Bi 7.2420 2.7183 0.1045
Bi 6.9875 -1.2891 5.5608
Bi 3.4634 8.2770 0.9521
Bi -3.1813 2.6847 8.0051
Na 4.4930 2.4919 1.7202
Na 1.3704 3.0553 0.5614
Na 1.5070 5.7191 5.8946
Na -1.0138 1.1332 3.0358
Na 2.6904 2.3477 7.5482
Na 4.7071 0.9126 5.1474
Na 2.9165 5.7446 2.8248
Na 2.5537 -0.3161 2.2150
Na 5.0745 4.2698 5.0738
Na -0.4323 2.9111 6.3894
Na -0.6463 4.4904 2.9622
Na 1.1443 -0.3416 5.2849
Li 0.0000 0.0000 0.0000
```

Entry 6:
The following is a PBE calculation of a relaxed Tb6PrY6 crystal, from Alexandria.

Values from the calculation:
calculated total energy: -5.2001 eV per atom
E_form: 0.288 eV per atom

Structure (extended XYZ):
```
13
Lattice="6.7128 -0.0002 0.0000 -3.3558 5.8138 0.0000 0.0000 0.0000 11.4454" Properties=species:S:1:pos:R:3 pbc="T T T"
Tb 0.0000 0.0000 3.9991
Tb 0.0000 0.0000 7.4463
Tb 0.0000 3.8760 5.7227
Tb 3.3564 1.9379 0.0000
Tb 0.0006 3.8757 0.0000
Tb 3.3571 1.9376 5.7227
Y 3.3564 -0.0001 8.6414
Y 3.3564 -0.0001 2.8040
Y -1.6779 2.9069 8.6414
Y 1.6785 2.9068 8.6408
Y 1.6785 2.9068 2.8046
Y -1.6779 2.9069 2.8040
Pr 0.0000 0.0000 0.0000
```

Entry 7:
The following is a PBE calculation of a relaxed CaPm2Sn2Hg2 crystal, from Alexandria.

Values from the calculation:
calculated total energy: -3.2184 eV per atom
E_form: -0.345 eV per atom

Structure (extended XYZ):
```
7
Lattice="-4.6125 0.0771 -2.1055 -2.5872 -4.3202 -0.5969 -6.1957 -0.2958 7.4557" Properties=species:S:1:pos:R:3 pbc="T T T"
Pm -8.6932 -3.8030 0.5857
Pm -4.7022 -0.7359 4.1676
Sn -10.2149 -3.3545 3.9357
Sn -3.1805 -1.1843 0.8176
Hg -7.5191 -2.0274 4.1850
Hg -5.8763 -2.5115 0.5683
Ca 0.0000 0.0000 0.0000
```

Entry 8:
The following is a PBE calculation of a relaxed Pm2Sc2Tl2O crystal, from Alexandria.

Values from the calculation:
calculated total energy: -5.6953 eV per atom

Structure (extended XYZ):
```
7
Lattice="4.5000 0.0000 0.0000 0.0000 4.5000 0.0000 -2.2500 -2.2500 8.1663" Properties=species:S:1:pos:R:3 pbc="T T T"
Tl 0.0000 0.0000 6.0283
Tl 2.2500 2.2500 2.1380
Pm 0.0000 0.0000 2.7236
Pm 2.2500 2.2500 5.4427
O 0.0000 0.0000 0.0000
Sc 2.2500 0.0000 0.0000
Sc 0.0000 2.2500 0.0000
```